(1)
First-principles (PBE) data for Tb2Nd12Ho5 after structural relaxation, as listed in the Alexandria database.

Cell: 9.327 9.327 8.068 Å, 92.59 92.59 68.94°
Sites, in units of the cell vectors:
Tb1 0.236 0.764 0.000
Tb2 0.764 0.236 0.000
Nd1 0.054 0.054 0.712
Nd2 0.087 0.540 0.207
Nd3 0.120 0.667 0.613
Nd4 0.333 0.880 0.387
Nd5 0.364 0.364 0.890
Nd6 0.460 0.913 0.793
Nd7 0.540 0.087 0.207
Nd8 0.636 0.636 0.110
Nd9 0.667 0.120 0.613
Nd10 0.880 0.333 0.387
Nd11 0.913 0.460 0.793
Nd12 0.946 0.946 0.288
Ho1 0.155 0.155 0.093
Ho2 0.257 0.257 0.513
Ho3 0.500 0.500 0.500
Ho4 0.743 0.743 0.487
Ho5 0.845 0.845 0.907

Summary:
**Energy above the lowest structure with this stoichiometry**: 0.9 kJ/mol of atoms
**Energy relative to the elements**: 3.0 kcal/mol of atoms
**DOS at the Fermi energy**: 1.393 states/eV per atom
**Uncorrected energy**: -4.57 eV per atom
**Crystal system**: monoclinic

(2)
First-principles (PBE) data for TbNdHo after structural relaxation, as listed in the Alexandria database.

Cell: 5.690 5.690 3.492 Å, 90.00 90.00 120.00°
Sites, in units of the cell vectors:
Tb1 0.000 0.000 0.000
Nd1 0.667 0.333 0.500
Ho1 0.333 0.667 0.000

Summary:
**Energy above the lowest structure with this stoichiometry**: 4.6 kJ/mol of atoms
**Energy relative to the elements**: 1.6 kcal/mol of atoms
**DOS at the Fermi energy**: 1.437 states/eV per atom
**Uncorrected energy**: -4.59 eV per atom
**Crystal system**: hexagonal

(3)
First-principles (PBE) data for Tb2Nd3Ho7 after structural relaxation, as listed in the Alexandria database.

Cell: 5.830 3.569 18.793 Å, 90.00 93.10 90.00°
Sites, in units of the cell vectors:
Tb1 0.211 0.000 0.292
Tb2 0.789 0.000 0.708
Nd1 0.000 0.000 0.000
Nd2 0.278 0.500 0.633
Nd3 0.722 0.500 0.367
Ho1 0.191 0.500 0.143
Ho2 0.243 0.000 0.462
Ho3 0.307 0.000 0.825
Ho4 0.500 0.500 0.000
Ho5 0.693 0.000 0.175
Ho6 0.757 0.000 0.538
Ho7 0.809 0.500 0.857

Summary:
**Energy relative to the elements**: 2.0 kcal/mol of atoms
**DOS at the Fermi energy**: 1.218 states/eV per atom
**Uncorrected energy**: -4.55 eV per atom
**Crystal system**: monoclinic

(4)
First-principles (PBE) data for Tb2Nd3Ho4 after structural relaxation, as listed in the Alexandria database.

Cell: 10.151 10.151 6.090 Å, 95.86 95.86 70.09°
Sites, in units of the cell vectors:
Tb1 0.017 0.745 0.684
Tb2 0.255 0.983 0.816
Tb3 0.745 0.017 0.184
Tb4 0.983 0.255 0.316
Nd1 0.103 0.897 0.250
Nd2 0.231 0.437 0.414
Nd3 0.437 0.231 0.914
Nd4 0.563 0.769 0.086
Nd5 0.769 0.563 0.586
Nd6 0.897 0.103 0.750
Ho1 0.081 0.351 0.851
Ho2 0.316 0.587 0.981
Ho3 0.351 0.081 0.351
Ho4 0.413 0.684 0.519
Ho5 0.587 0.316 0.481
Ho6 0.649 0.919 0.649
Ho7 0.684 0.413 0.019
Ho8 0.919 0.649 0.149

Summary:
**Energy above the lowest structure with this stoichiometry**: 7.9 kJ/mol of atoms
**Energy relative to the elements**: 2.3 kcal/mol of atoms
**DOS at the Fermi energy**: 1.485 states/eV per atom
**Uncorrected energy**: -4.55 eV per atom
**Crystal system**: monoclinic

(5)
First-principles (PBE) data for TbNd3Ho4 after structural relaxation, as listed in the Alexandria database.

Cell: 11.479 7.312 6.301 Å, 90.00 90.00 90.00°
Sites, in units of the cell vectors:
Tb1 0.000 0.130 0.000
Tb2 0.500 0.870 0.500
Nd1 0.000 0.873 0.500
Nd2 0.250 0.127 0.665
Nd3 0.250 0.873 0.165
Nd4 0.500 0.127 0.000
Nd5 0.750 0.127 0.665
Nd6 0.750 0.873 0.165
Ho1 0.000 0.378 0.498
Ho2 0.000 0.622 0.999
Ho3 0.249 0.378 0.166
Ho4 0.251 0.622 0.666
Ho5 0.500 0.378 0.499
Ho6 0.500 0.622 0.998
Ho7 0.749 0.622 0.666
Ho8 0.751 0.378 0.166

Summary:
**Energy above the lowest structure with this stoichiometry**: 0.0 kJ/mol of atoms
**Energy relative to the elements**: 0.5 kcal/mol of atoms
**DOS at the Fermi energy**: 1.808 states/eV per atom
**Uncorrected energy**: -4.63 eV per atom
**Crystal system**: orthorhombic

(6)
First-principles (PBE) data for Tb6NdHo4 after structural relaxation, as listed in the Alexandria database.

Cell: 5.596 5.596 25.647 Å, 90.00 90.00 118.26°
Sites, in units of the cell vectors:
Tb1 0.000 0.000 0.000
Tb2 0.000 0.000 0.500
Tb3 0.034 0.966 0.750
Tb4 0.302 0.698 0.102
Tb5 0.302 0.698 0.398
Tb6 0.368 0.632 0.681
Tb7 0.368 0.632 0.819
Tb8 0.632 0.368 0.181
Tb9 0.632 0.368 0.319
Tb10 0.698 0.302 0.602
Tb11 0.698 0.302 0.898
Tb12 0.966 0.034 0.250
Nd1 0.301 0.699 0.250
Nd2 0.699 0.301 0.750
Ho1 0.039 0.961 0.621
Ho2 0.039 0.961 0.879
Ho3 0.347 0.653 0.542
Ho4 0.347 0.653 0.958
Ho5 0.653 0.347 0.042
Ho6 0.653 0.347 0.458
Ho7 0.961 0.039 0.121
Ho8 0.961 0.039 0.379

Summary:
**Energy above the lowest structure with this stoichiometry**: 0.0 kJ/mol of atoms
**Energy relative to the elements**: 2.9 kcal/mol of atoms
**DOS at the Fermi energy**: 1.862 states/eV per atom
**Uncorrected energy**: -4.50 eV per atom
**Crystal system**: orthorhombic

(7)
First-principles (PBE) data for TbNd2Ho6 after structural relaxation, as listed in the Alexandria database.

Cell: 9.583 9.583 6.573 Å, 99.16 99.16 95.96°
Sites, in units of the cell vectors:
Tb1 0.118 0.882 0.750
Tb2 0.882 0.118 0.250
Nd1 0.331 0.383 0.627
Nd2 0.383 0.331 0.127
Nd3 0.617 0.669 0.873
Nd4 0.669 0.617 0.373
Ho1 0.043 0.221 0.816
Ho2 0.058 0.462 0.269
Ho3 0.221 0.043 0.316
Ho4 0.276 0.653 0.997
Ho5 0.347 0.724 0.503
Ho6 0.462 0.058 0.769
Ho7 0.538 0.942 0.231
Ho8 0.653 0.276 0.497
Ho9 0.724 0.347 0.003
Ho10 0.779 0.957 0.684
Ho11 0.942 0.538 0.731
Ho12 0.957 0.779 0.184

Summary:
**Energy above the lowest structure with this stoichiometry**: 0.0 kJ/mol of atoms
**Energy relative to the elements**: 2.6 kcal/mol of atoms
**DOS at the Fermi energy**: 1.309 states/eV per atom
**Uncorrected energy**: -4.51 eV per atom
**Crystal system**: monoclinic

(8)
First-principles (PBE) data for TbNd2Ho after structural relaxation, as listed in the Alexandria database.

Cell: 5.124 5.124 5.067 Å, 90.00 90.00 90.00°
Sites, in units of the cell vectors:
Tb1 0.000 0.000 0.000
Nd1 0.000 0.500 0.500
Nd2 0.500 0.000 0.500
Ho1 0.500 0.500 0.000

Summary:
**Energy above the lowest structure with this stoichiometry**: 0.7 kJ/mol of atoms
**Energy relative to the elements**: 0.4 kcal/mol of atoms
**DOS at the Fermi energy**: 1.613 states/eV per atom
**Uncorrected energy**: -4.67 eV per atom
**Crystal system**: tetragonal